[1]
## TbPmRu (PBE-GGA)

Data for a relaxed structure of TbPmRu.

a b c (Å): 3.5450 16.0379 5.3158
angles (deg): 90.00 90.00 90.00
Space group Cmcm (No. 63)
Unique sites:
Tb 0.0000 0.2104 0.2500
Pm 0.0000 0.0711 0.7500
Ru 0.0000 0.4238 0.7500

Values from the calculation:
**Calculated density**: 8.90 g cm⁻³
**Electronic total energy**: -6.383 eV/atom
**Polymorph energy (0 for the lowest one)**: 85.7 meV/atom
**Magnetic moment**: 0.000 μB per atom

***

[2]
## Sr2MnI6 (PBE-GGA)

Data for a relaxed structure of Sr2MnI6.

a b c (Å): 7.5528 8.4031 13.4275
angles (deg): 90.00 123.97 90.00
Space group P2_1/c (No. 14)
Unique sites:
Sr 0.2057 0.1104 0.2532
Mn 0.5000 0.0000 0.0000
I 0.1190 0.1723 0.9366
I 0.2707 0.6907 0.9394
I 0.3899 0.0312 0.7572

Values from the calculation:
**Calculated density**: 4.66 g cm⁻³
**Electronic total energy**: -3.678 eV/atom
**Magnetic moment**: 0.556 μB per atom
**Energy relative to the elements, uncorrected**: -1252 meV/atom

***

[3]
## K12Rb5Na2 (PBE-GGA)

Data for a relaxed structure of K12Rb5Na2.

a b c (Å): 20.7611 12.0462 11.2328
angles (deg): 90.00 92.46 90.00
Space group C2/m (No. 12)
Unique sites:
K 0.0478 0.0000 0.3252
K 0.0770 0.5000 0.8885
K 0.1233 0.2015 0.6824
K 0.1399 0.3118 0.2308
Rb 0.0000 0.5000 0.5000
Rb 0.2001 0.0000 0.0069
Rb 0.2401 0.5000 0.5600
Na 0.0000 0.1617 0.0000

Values from the calculation:
**Calculated density**: 1.12 g cm⁻³
**Electronic total energy**: -1.062 eV/atom
**Polymorph energy (0 for the lowest one)**: 0.0 meV/atom
**Magnetic moment**: 0.000 μB per atom

***

[4]
## Li3Zn2Ni2 (PBE-GGA)

Data for a relaxed structure of Li3Zn2Ni2.

a b c (Å): 4.1396 4.1396 17.9892
angles (deg): 90.00 90.00 120.00
Space group R-3m (No. 166, hexagonal axes)
Unique sites:
Li 0.0000 0.0000 0.0000
Li 0.0000 0.0000 0.1432
Zn 0.0000 0.0000 0.4240
Ni 0.0000 0.0000 0.2889

Values from the calculation:
**Calculated density**: 5.02 g cm⁻³
**Electronic total energy**: -2.972 eV/atom
**Polymorph energy (0 for the lowest one)**: 0.0 meV/atom
**Magnetic moment**: 0.000 μB per atom

***

[5]
## LuTiOs4 (PBE-GGA)

Data for a relaxed structure of LuTiOs4.

a b c (Å): 7.3826 7.3826 7.3826
angles (deg): 90.00 90.00 90.00
Space group F-43m (No. 216)
Unique sites:
Lu 0.0000 0.0000 0.0000
Ti 0.2500 0.2500 0.2500
Os 0.1248 0.1248 0.6248

Values from the calculation:
**Calculated density**: 16.24 g cm⁻³
**Electronic total energy**: -9.758 eV/atom
**Magnetic moment**: 0.000 μB per atom

***

[6]
## YNi2Sb (PBE-GGA)

Data for a relaxed structure of YNi2Sb.

a b c (Å): 3.9090 4.2149 4.8523
angles (deg): 90.00 113.60 90.00
Space group Pm (No. 6)
Unique sites:
Y 0.0000 0.0000 0.0000
Ni 0.5824 0.5000 0.1598
Ni 0.7083 0.0000 0.4281
Sb 0.2875 0.5000 0.5706

Values from the calculation:
**Calculated density**: 7.44 g cm⁻³
**Electronic total energy**: -5.978 eV/atom
**Magnetic moment**: 0.000 μB per atom
**Energy relative to the elements, uncorrected**: -441 meV/atom

***

[7]
## Th5CoBi2 (PBE-GGA)

Data for a relaxed structure of Th5CoBi2.

a b c (Å): 8.3006 12.7376 4.5480
angles (deg): 90.00 90.00 90.00
Space group Pbam (No. 55)
Unique sites:
Th 0.0000 0.0000 0.0000
Th 0.1206 0.3113 0.0000
Th 0.1967 0.5588 0.5000
Co 0.0000 0.5000 0.0000
Bi 0.0885 0.8206 0.5000

Values from the calculation:
**Calculated density**: 11.31 g cm⁻³
**Electronic total energy**: -6.876 eV/atom
**Polymorph energy (0 for the lowest one)**: 0.0 meV/atom
**Magnetic moment**: 0.000 μB per atom

***

[8]
## Ce2Pm3DyN6 (PBE-GGA)

Data for a relaxed structure of Ce2Pm3DyN6.

a b c (Å): 6.1802 10.7064 6.1868
angles (deg): 90.00 109.43 90.00
Space group C2/m (No. 12)
Unique sites:
Ce 0.0000 0.1668 0.0000
Pm 0.0000 0.0000 0.5000
Pm 0.0000 0.3339 0.5000
Dy 0.0000 0.5000 0.0000
N 0.2445 0.0000 0.2387
N 0.2467 0.3324 0.2371

Values from the calculation:
**Calculated density**: 8.27 g cm⁻³
**Electronic total energy**: -8.242 eV/atom
**Magnetic moment**: 0.000 μB per atom
**Energy relative to the elements, uncorrected**: -1519 meV/atom

***

- What is the electronic total energy in the fourth record?
  -2.972 eV/atom